A plane-wave DFT calculation with PBE was carried out for an optimized crystal structure of SrHfSb2I.

Cell lengths 5.5459, 5.5459, 5.8134 Å; angles 90.00, 90.00, 90.00 degrees
Fractional positions:
Sr (0.0000, 0.0000, 0.0000)
Hf (0.5000, 0.5000, 0.5000)
Sb (0.0000, 0.5000, 0.5000)
Sb (0.5000, 0.0000, 0.5000)
I (0.5000, 0.5000, 0.0000)

ΔE to the lowest computed polymorph = 0.000 eV per formula unit
E_form (uncorrected) = -450 meV per atom
total DFT energy (no corrections) = -23.7 eV for the cell shown

A plane-wave DFT calculation with PBE was carried out for an optimized crystal structure of RbBiN2.

Cell lengths 3.5086, 3.5086, 23.2028 Å; angles 90.00, 90.00, 120.00 degrees
Fractional positions:
Rb (0.0000, 0.0000, 0.0000)
Rb (0.3333, 0.6667, 0.6667)
Rb (0.6667, 0.3333, 0.3333)
Bi (0.0000, 0.0000, 0.5000)
Bi (0.3333, 0.6667, 0.1667)
Bi (0.6667, 0.3333, 0.8333)
N (0.0000, 0.0000, 0.1162)
N (0.0000, 0.0000, 0.8838)
N (0.3333, 0.6667, 0.5504)
N (0.3333, 0.6667, 0.7829)
N (0.6667, 0.3333, 0.2171)
N (0.6667, 0.3333, 0.4496)

E_form (uncorrected) = 935 meV per atom
total DFT energy (no corrections) = -53.3 eV for the cell shown

A plane-wave DFT calculation with PBE was carried out for an optimized crystal structure of P2Au2I.

Cell lengths 4.7433, 4.7433, 9.4049 Å; angles 90.00, 90.00, 90.00 degrees
Fractional positions:
P (0.0000, 0.0000, 0.1200)
P (0.0000, 0.0000, 0.8800)
P (0.5000, 0.5000, 0.3800)
P (0.5000, 0.5000, 0.6200)
Au (0.0000, 0.5000, 0.2500)
Au (0.0000, 0.5000, 0.7500)
Au (0.5000, 0.0000, 0.2500)
Au (0.5000, 0.0000, 0.7500)
I (0.0000, 0.0000, 0.5000)
I (0.5000, 0.5000, 0.0000)

ΔE to the lowest computed polymorph = 0.000 eV per formula unit
E_form (uncorrected) = 433 meV per atom
total DFT energy (no corrections) = -33.5 eV for the cell shown

A plane-wave DFT calculation with PBE was carried out for an optimized crystal structure of NaTaSbO5.

Cell lengths 6.0309, 6.0309, 7.8614 Å; angles 108.27, 108.27, 99.70 degrees
Fractional positions:
Na (0.1921, 0.8079, 0.7500)
Na (0.8079, 0.1921, 0.2500)
Ta (0.5000, 0.5000, 0.0000)
Ta (0.5000, 0.5000, 0.5000)
Sb (0.1716, 0.8284, 0.2500)
Sb (0.8284, 0.1716, 0.7500)
O (0.1844, 0.2265, 0.8637)
O (0.2265, 0.1844, 0.3637)
O (0.2498, 0.6836, 0.4564)
O (0.3164, 0.7502, 0.0436)
O (0.4732, 0.5268, 0.7500)
O (0.5268, 0.4732, 0.2500)
O (0.6836, 0.2498, 0.9564)
O (0.7502, 0.3164, 0.5436)
O (0.7735, 0.8156, 0.6363)
O (0.8156, 0.7735, 0.1363)

E_form (uncorrected) = -2010 meV per atom
total DFT energy (no corrections) = -116.3 eV for the cell shown